Record 1
DFT (PBE) results for Na2MgMnBr6 after structural relaxation.

Cell: 7.1694 7.1690 7.4867 Å, 61.39 61.40 59.98°
Site moments in Bohr magnetons follow the coordinates.
Positions (direct):
1 Mn 0.8210 0.8212 0.5363  4.41
2 Mg 0.3214 0.3212 0.0358  0.01
3 Br 0.6899 0.0843 0.7653  0.04
4 Br 0.0844 0.4605 0.7652  0.03
5 Br 0.1894 0.9595 0.2659  0.03
6 Br 0.4604 0.6898 0.7654  0.04
7 Br 0.5853 0.1894 0.2659  0.03
8 Br 0.9595 0.5854 0.2657  0.03
9 Na 0.0247 0.0248 0.9260  0.00
10 Na 0.5256 0.5255 0.4237  0.00

crystal system = trigonal
formation energy from raw total energies = -1.2571 eV/atom

***

Record 2
DFT (PBE) results for Tb4Dy3Ni4 after structural relaxation.

Cell: 4.5491 7.4692 8.6453 Å, 115.59 105.25 90.00°
Positions (direct):
1 Ni 0.7934 0.2934 0.5868
2 Ni 0.5000 0.1584 0.0000
3 Ni 0.5000 0.8416 0.0000
4 Ni 0.2066 0.7066 0.4132
5 Tb 0.3311 0.5448 0.6622
6 Tb 0.6689 0.8826 0.3378
7 Tb 0.6689 0.4552 0.3378
8 Tb 0.3311 0.1174 0.6622
9 Dy 0.0000 0.5000 0.0000
10 Dy 0.1039 0.1039 0.2077
11 Dy 0.8961 0.8961 0.7923

crystal system = orthorhombic

***

Number 1: total moment 0.50 μB per atom, total energy -3.60 eV/atom. Number 2: total moment 0.00 μB per atom, total energy -5.25 eV/atom.